Here is TaCrSi2O8 after structural relaxation from Alexandria. Energies are from GGA+U.

```
TaCrSi2O8
1.0
-3.2139 3.2139 3.0062
3.2139 -3.2139 3.0062
3.2139 3.2139 -3.0062
Ta Cr Si O
1 1 2 8
direct
0.0000 0.0000 0.0000
0.2500 0.7500 0.5000
0.5000 0.5000 0.0000
0.7500 0.2500 0.5000
0.3091 0.1241 0.8150
0.3091 0.4942 0.1850
0.3815 0.0746 0.3069
0.5058 0.6909 0.8150
0.7678 0.0746 0.6931
0.8759 0.6909 0.1850
0.9254 0.2322 0.3069
0.9254 0.6185 0.6931
```

As for the symmetry: No. 119. For the raw total energy, the calculation gives -8.302 eV per atom.